1.
## NaReGe3 (PBEsol)

Data for an optimized crystal structure of NaReGe3.

Cell: 4.734 4.734 4.734 Å, 90.00 90.00 90.00°
Atoms (fractional coordinates):
Na: 0.000 0.000 0.000
Re: 0.500 0.500 0.500
Ge: 0.000 0.000 0.500
Ge: 0.000 0.500 0.000
Ge: 0.500 0.000 0.000

Summary:
For the formation energy, the calculation gives 1964 meV/atom. The value obtained for the total energy is -19.73 eV per cell. The calculation puts the magnetization at 3.2 Bohr magnetons per cell. As for the space group: Pm-3m (221).

2.
## NaReGe2 (PBEsol)

Data for an optimized crystal structure of NaReGe2.

Cell: 4.448 4.448 4.448 Å, 60.00 60.00 60.00°
Atoms (fractional coordinates):
Na: 0.000 0.000 0.000
Re: 0.500 0.500 0.500
Ge: 0.250 0.250 0.250
Ge: 0.750 0.750 0.750

Summary:
For the formation energy, the calculation gives 407 meV/atom. The value obtained for the total energy is -22.98 eV per cell. The calculation puts the magnetization at 0.0 Bohr magnetons per cell. As for the space group: Fm-3m (225).